The following is a DFT calculation (GGA-PBE) of La2ReSi after structural relaxation.

Summary:
As for the raw formation energy: -10 kJ/mol of atoms.

Lattice parameters (Å, degrees): 3.343 3.343 8.753 90.00 90.00 90.00
Element x y z (fractional)
Re: 0.000 0.000 0.570
La: 0.000 0.000 0.921
La: 0.500 0.500 0.327
Si: 0.500 0.500 0.682

The following is a DFT calculation (GGA-PBE) of MnGaSe after structural relaxation.

Summary:
The value obtained for the energy relative to the lowest polymorph listed for this composition is 0.038 eV/atom. As for the raw formation energy: -7 kJ/mol of atoms.

Lattice parameters (Å, degrees): 3.212 3.212 5.739 90.00 90.00 120.00
Element x y z (fractional)
Se: 0.667 0.333 0.588
Mn: 0.333 0.667 0.858
Ga: 0.000 0.000 0.173

The following is a DFT calculation (GGA-PBE) of NaLa5S8 after structural relaxation.

Summary:
As for the raw formation energy: -203 kJ/mol of atoms.

Lattice parameters (Å, degrees): 7.571 7.571 7.571 109.47 109.47 109.47
Element x y z (fractional)
La: 0.748 0.621 0.631
La: 0.369 0.117 0.990
La: 0.010 0.379 0.127
La: 0.500 0.000 0.500
La: 0.873 0.883 0.252
S: 0.486 0.605 0.242
S: 0.972 0.099 0.725
S: 0.758 0.244 0.363
S: 0.637 0.395 0.881
S: 0.119 0.756 0.514
S: 0.127 0.753 0.028
S: 0.626 0.901 0.873
S: 0.275 0.247 0.374
Na: 0.250 0.500 0.750

The following is a DFT calculation (GGA-PBE) of Ga2Pd4Au after structural relaxation.

Summary:
For the formation energy from the elements, the calculation gives -0.387 eV/atom. The value obtained for the energy relative to the lowest polymorph listed for this composition is 0.000 eV/atom.

Lattice parameters (Å, degrees): 4.039 4.039 9.005 77.04 77.04 60.00
Element x y z (fractional)
Pd: 0.605 0.605 0.185
Pd: 0.801 0.801 0.598
Pd: 0.199 0.199 0.402
Pd: 0.395 0.395 0.815
Au: 0.000 0.000 0.000
Ga: 0.100 0.100 0.700
Ga: 0.900 0.900 0.300

The following is a DFT calculation (GGA-PBE) of CsTa3Cl after structural relaxation.

Summary:
The value obtained for the energy relative to the lowest polymorph listed for this composition is 1.584 eV/atom. As for the raw formation energy: 323 kJ/mol of atoms.

Lattice parameters (Å, degrees): 5.134 5.134 5.134 90.00 90.00 90.00
Element x y z (fractional)
Ta: 0.000 0.000 0.500
Ta: 0.000 0.500 0.000
Ta: 0.500 0.000 0.000
Cs: 0.000 0.000 0.000
Cl: 0.500 0.500 0.500

The following is a DFT calculation (GGA-PBE) of FeCo2N2 after structural relaxation.

Summary:
The value obtained for the energy relative to the lowest polymorph listed for this composition is 0.073 eV/atom. As for the raw formation energy: 26 kJ/mol of atoms.

Lattice parameters (Å, degrees): 2.877 2.877 6.452 90.00 90.00 120.00
Element x y z (fractional)
Fe: 0.000 0.000 0.500
N: 0.333 0.667 0.297
N: 0.667 0.333 0.703
Co: 0.667 0.333 0.163
Co: 0.333 0.667 0.837

The following is a DFT calculation (GGA-PBE) of SrAl2Ni after structural relaxation.

Summary:
For the formation energy from the elements, the calculation gives 0.105 eV/atom.

Lattice parameters (Å, degrees): 4.758 4.758 4.758 60.00 60.00 60.00
Element x y z (fractional)
Sr: 0.500 0.500 0.500
Al: 0.250 0.250 0.250
Al: 0.750 0.750 0.750
Ni: 0.000 0.000 0.000

The following is a DFT calculation (GGA-PBE) of MgScBr2 after structural relaxation.

Summary:
The value obtained for the energy relative to the lowest polymorph listed for this composition is 0.139 eV/atom. As for the raw formation energy: -81 kJ/mol of atoms.

Lattice parameters (Å, degrees): 7.783 7.783 7.783 153.95 138.56 49.61
Element x y z (fractional)
Mg: 0.250 0.750 0.500
Br: 0.605 0.605 0.000
Br: 0.895 0.895 0.000
Sc: 0.750 0.250 0.500

The following is a DFT calculation (GGA-PBE) of VHgH after structural relaxation.

Summary:
The value obtained for the energy relative to the lowest polymorph listed for this composition is 0.098 eV/atom.

Lattice parameters (Å, degrees): 5.598 3.043 5.598 105.77 114.17 105.77
Element x y z (fractional)
H: 0.336 0.753 0.035
H: 0.836 0.753 0.535
Hg: 0.753 0.419 0.952
Hg: 0.253 0.419 0.452
V: 0.670 0.086 0.369
V: 0.170 0.086 0.869

The following is a DFT calculation (GGA-PBE) of Ge2Au2I after structural relaxation.

Summary:
The value obtained for the energy relative to the lowest polymorph listed for this composition is 0.095 eV/atom. As for the raw formation energy: 21 kJ/mol of atoms.

Lattice parameters (Å, degrees): 8.004 8.004 3.550 90.00 90.00 90.00
Element x y z (fractional)
Au: 0.860 0.640 0.000
Au: 0.140 0.360 0.000
Au: 0.360 0.860 0.000
Au: 0.640 0.140 0.000
Ge: 0.133 0.633 0.500
Ge: 0.367 0.133 0.500
Ge: 0.633 0.867 0.500
Ge: 0.867 0.367 0.500
I: 0.000 0.000 0.000
I: 0.500 0.500 0.000

The following is a DFT calculation (GGA-PBE) of Ce2Th3Pb3 after structural relaxation.

Summary:
For the formation energy from the elements, the calculation gives -0.292 eV/atom.

Lattice parameters (Å, degrees): 6.308 9.549 9.549 120.00 90.00 90.00
Element x y z (fractional)
Th: 0.750 0.000 0.243
Th: 0.250 0.757 0.000
Th: 0.750 0.243 0.000
Th: 0.750 0.757 0.757
Th: 0.250 0.000 0.757
Th: 0.250 0.243 0.243
Ce: 0.000 0.333 0.667
Ce: 0.500 0.333 0.667
Ce: 0.500 0.667 0.333
Ce: 0.000 0.667 0.333
Pb: 0.250 0.000 0.393
Pb: 0.750 0.393 0.393
Pb: 0.750 0.000 0.607
Pb: 0.250 0.393 0.000
Pb: 0.750 0.607 0.000
Pb: 0.250 0.607 0.607

The following is a DFT calculation (GGA-PBE) of Ca4AlCd after structural relaxation.

Summary:
For the formation energy from the elements, the calculation gives 0.370 eV/atom. The value obtained for the energy relative to the lowest polymorph listed for this composition is 0.563 eV/atom.

Lattice parameters (Å, degrees): 6.660 6.660 6.660 60.00 60.00 60.00
Element x y z (fractional)
Ca: 0.375 0.375 0.876
Ca: 0.876 0.375 0.375
Ca: 0.375 0.876 0.375
Ca: 0.375 0.375 0.375
Cd: 0.750 0.750 0.750
Al: 0.000 0.000 0.000